# PBE ScNbSn2, optimized geometry
# - Total moment: 0.480 μB/atom
# - Electronic total energy: -94.072 eV for the cell shown
data_ScNbSn2
_chemical_formula_sum 'Sc4 Nb4 Sn8'
_space_group_name_H-M_alt 'F -4 3 m'
_space_group_IT_number 216
_space_group_name_Hall 'F -4 2 3'
_cell_length_a 7.066
_cell_length_b 7.066
_cell_length_c 7.066
_cell_angle_alpha 90.00
_cell_angle_beta 90.00
_cell_angle_gamma 90.00
loop_
_atom_site_label
_atom_site_fract_x
_atom_site_fract_y
_atom_site_fract_z
Sc1 0.000 0.000 0.000
Nb1 0.250 0.250 0.250
Sn1 0.000 0.000 0.500
Sn2 0.250 0.250 0.750

***

# PBE Hf4TlInN2, optimized geometry
# - Total moment: 0.001 μB/atom
# - Electronic total energy: -69.348 eV for the cell shown
data_Hf4TlInN2
_chemical_formula_sum 'Hf4 Tl1 In1 N2'
_space_group_name_H-M_alt 'P -6 m 2'
_space_group_IT_number 187
_space_group_name_Hall 'P -6 2'
_cell_length_a 3.2508
_cell_length_b 3.2508
_cell_length_c 14.8225
_cell_angle_alpha 90.00
_cell_angle_beta 90.00
_cell_angle_gamma 120.00
loop_
_atom_site_label
_atom_site_fract_x
_atom_site_fract_y
_atom_site_fract_z
Hf1 0.0000 0.0000 0.1657
Hf2 0.6667 0.3333 0.3331
Tl1 0.0000 0.0000 0.5000
In1 0.6667 0.3333 0.0000
N1 0.3333 0.6667 0.2496

***

# PBE AlZn2Pd, optimized geometry
# - Electronic total energy: -51.137 eV for the cell shown
data_AlZn2Pd
_chemical_formula_sum 'Al4 Zn8 Pd4'
_space_group_name_H-M_alt 'F -4 3 m'
_space_group_IT_number 216
_space_group_name_Hall 'F -4 2 3'
_cell_length_a 6.155
_cell_length_b 6.155
_cell_length_c 6.155
_cell_angle_alpha 90.00
_cell_angle_beta 90.00
_cell_angle_gamma 90.00
loop_
_atom_site_label
_atom_site_fract_x
_atom_site_fract_y
_atom_site_fract_z
Al1 0.000 0.000 0.000
Zn1 0.000 0.000 0.500
Zn2 0.250 0.250 0.250
Pd1 0.250 0.250 0.750